[1]
The following is a PBE calculation of a relaxed structure of LaMnRuN, from Alexandria via LeMat-Bulk.

The structure in POSCAR format:
```
LaMnRuN
1.0
5.096 0.000 0.076
0.000 3.827 0.000
-1.219 0.000 7.715
Ru N Mn La
2 2 2 2
Direct
0.048 0.000 0.122
0.048 0.500 0.622
0.325 0.000 0.328
0.325 0.500 0.828
0.071 0.000 0.458
0.071 0.500 0.958
0.577 0.500 0.246
0.577 0.000 0.746
```

Output
For the total magnetic moment, the calculation gives 0.3054 μB/atom. For the energy relative to the lowest polymorph listed for this composition, the calculation gives 1.42 kcal/mol of atoms. The crystal system is monoclinic.

---

[2]
The following is a PBE calculation of a relaxed structure of LaMnRuN, from Alexandria via LeMat-Bulk.

The structure in POSCAR format:
```
LaMnRuN
1.0
-2.122 -2.453 -2.085
2.637 -2.836 -1.219
-0.918 -2.541 3.919
La Mn Ru N
1 1 1 1
Direct
0.386 0.321 0.811
0.677 0.660 0.310
0.081 0.067 0.311
0.191 0.554 0.311
```

Output
For the total magnetic moment, the calculation gives 0.6195 μB/atom. For the energy relative to the lowest polymorph listed for this composition, the calculation gives 1.72 kcal/mol of atoms. The crystal system is monoclinic.

---

[3]
The following is a PBE calculation of a relaxed structure of LaMnRuN, from Alexandria via LeMat-Bulk.

The structure in POSCAR format:
```
LaMnRuN
1.0
-2.786 0.053 -0.654
-0.845 -1.151 3.510
0.700 10.817 3.714
Mn N La Ru
2 2 2 2
Direct
0.599 0.000 0.345
0.599 0.500 0.845
0.160 0.000 0.458
0.160 0.500 0.958
0.719 0.500 0.558
0.719 0.000 0.058
0.202 0.000 0.768
0.202 0.500 0.268
```

Output
For the total magnetic moment, the calculation gives 0.0001 μB/atom. For the energy relative to the lowest polymorph listed for this composition, the calculation gives 5.05 kcal/mol of atoms. The crystal system is monoclinic.

---

[4]
The following is a PBE calculation of a relaxed structure of La2MnSN, from Alexandria via LeMat-Bulk.

The structure in POSCAR format:
```
La2MnSN
1.0
5.474 0.000 0.000
0.000 3.648 0.000
0.000 0.000 5.474
La Mn N S
2 1 1 1
Direct
0.000 0.000 0.500
0.500 0.000 0.000
0.500 0.500 0.500
0.000 0.500 0.000
0.000 0.000 0.000
```

Output
For the total magnetic moment, the calculation gives 0.0083 μB/atom. The crystal system is tetragonal.

---

[5]
The following is a PBE calculation of a relaxed structure of LaMnSN2, from Alexandria via LeMat-Bulk.

The structure in POSCAR format:
```
LaMnSN2
1.0
-3.683 1.605 0.967
-1.815 -2.525 -2.721
-0.684 -4.178 4.334
N La S Mn
2 1 1 1
Direct
0.500 0.000 0.000
0.000 0.500 0.000
0.000 0.000 0.000
0.000 0.000 0.500
0.500 0.500 0.500
```

Output
For the total magnetic moment, the calculation gives 0.9925 μB/atom. The crystal system is tetragonal.

---

[6]
The following is a PBE calculation of a relaxed structure of La2MnSbN, from Alexandria via LeMat-Bulk.

The structure in POSCAR format:
```
La2MnSbN
1.0
5.314 0.000 0.000
0.000 5.314 0.000
0.000 0.000 4.015
Mn Sb La N
1 1 2 1
Direct
0.000 0.000 0.500
0.500 0.500 0.500
0.500 0.000 0.000
0.000 0.500 0.000
0.000 0.000 0.000
```

Output
For the total magnetic moment, the calculation gives 0.6839 μB/atom. The crystal system is tetragonal.

---

[7]
The following is a PBE calculation of a relaxed structure of LaMnSe2N, from Alexandria via LeMat-Bulk.

The structure in POSCAR format:
```
LaMnSe2N
1.0
-2.061 -3.874 -3.833
5.395 -2.032 -0.848
-0.562 -2.800 3.132
Se La Mn N
2 1 1 1
Direct
0.500 0.000 0.000
0.000 0.500 0.000
0.000 0.000 0.000
0.500 0.500 0.500
0.000 0.000 0.500
```

Output
For the total magnetic moment, the calculation gives 0.7629 μB/atom. For the energy relative to the lowest polymorph listed for this composition, the calculation gives 26.87 kcal/mol of atoms. The crystal system is tetragonal.

---

[8]
The following is a PBE calculation of a relaxed structure of LaMnSeN2, from Alexandria via LeMat-Bulk.

The structure in POSCAR format:
```
LaMnSeN2
1.0
-2.505 1.575 2.928
1.069 -3.090 2.577
4.824 3.529 2.229
Se La N Mn
1 1 2 1
Direct
0.000 0.000 0.500
0.000 0.000 0.000
0.500 0.000 0.000
0.000 0.500 0.000
0.500 0.500 0.500
```

Output
For the total magnetic moment, the calculation gives 0.9857 μB/atom. For the energy relative to the lowest polymorph listed for this composition, the calculation gives 21.82 kcal/mol of atoms. The crystal system is tetragonal.

---

[9]
The following is a PBE calculation of a relaxed structure of LaMnSeN2, from Alexandria via LeMat-Bulk.

The structure in POSCAR format:
```
LaMnSeN2
1.0
3.943 0.000 0.000
0.000 3.943 0.000
0.000 0.000 4.885
N La Mn Se
2 1 1 1
Direct
0.500 0.000 0.000
0.000 0.500 0.000
0.500 0.500 0.500
0.000 0.000 0.000
0.000 0.000 0.500
```

Output
For the total magnetic moment, the calculation gives 0.0582 μB/atom. For the energy relative to the lowest polymorph listed for this composition, the calculation gives 0.00 kcal/mol of atoms. The crystal system is tetragonal.

---

[10]
The following is a PBE calculation of a relaxed structure of LaMnSe2N, from Alexandria via LeMat-Bulk.

The structure in POSCAR format:
```
LaMnSe2N
1.0
-1.995 3.472 -3.142
-2.985 -3.574 -2.054
-2.597 0.748 2.475
Se N Mn La
2 1 1 1
Direct
0.000 0.500 0.000
0.500 0.000 0.000
0.000 0.000 0.500
0.000 0.000 0.000
0.500 0.500 0.500
```

Output
For the total magnetic moment, the calculation gives 0.3723 μB/atom. For the energy relative to the lowest polymorph listed for this composition, the calculation gives 0.00 kcal/mol of atoms. The crystal system is tetragonal.

---

[11]
The following is a PBE calculation of a relaxed structure of La2Mn2Si2N, from Alexandria via LeMat-Bulk.

The structure in POSCAR format:
```
La2Mn2Si2N
1.0
4.045 0.000 0.000
2.022 5.547 -0.055
2.022 1.119 5.540
N Mn La Si
1 2 2 2
Direct
0.000 0.000 0.000
0.810 0.297 0.084
0.190 0.703 0.916
0.443 0.819 0.295
0.557 0.181 0.705
0.181 0.385 0.252
0.819 0.615 0.748
```

Output
For the total magnetic moment, the calculation gives 0.0000 μB/atom. The crystal system is monoclinic.

---

[12]
The following is a PBE calculation of a relaxed structure of La2SmMnN4, from Alexandria via LeMat-Bulk.

The structure in POSCAR format:
```
La2SmMnN4
1.0
-2.605 1.417 -1.878
3.947 -2.468 -4.055
-6.209 -10.753 0.501
Sm N La Mn
2 8 4 2
Direct
0.106 0.212 0.750
0.894 0.788 0.250
0.279 0.558 0.359
0.000 0.000 0.500
0.000 0.000 0.000
0.419 0.839 0.750
0.721 0.442 0.859
0.279 0.558 0.141
0.581 0.161 0.250
0.721 0.442 0.641
0.632 0.265 0.455
0.368 0.735 0.955
0.632 0.265 0.045
0.368 0.735 0.545
0.169 0.338 0.250
0.831 0.662 0.750
```

Output
For the total magnetic moment, the calculation gives 0.4458 μB/atom. The crystal system is orthorhombic.

---

[13]
The following is a PBE calculation of a relaxed structure of LaSm2MnN4, from Alexandria via LeMat-Bulk.

The structure in POSCAR format:
```
LaSm2MnN4
1.0
3.496 0.000 0.000
-1.748 5.921 0.000
0.000 0.000 11.964
N Mn Sm La
8 2 4 2
Direct
0.580 0.160 0.250
0.000 0.000 0.000
0.420 0.840 0.750
0.270 0.540 0.369
0.270 0.540 0.131
0.000 0.000 0.500
0.730 0.460 0.869
0.730 0.460 0.631
0.834 0.667 0.750
0.166 0.333 0.250
0.369 0.739 0.955
0.369 0.739 0.545
0.631 0.261 0.045
0.631 0.261 0.455
0.103 0.206 0.750
0.897 0.794 0.250
```

Output
For the total magnetic moment, the calculation gives 0.4548 μB/atom. The crystal system is orthorhombic.

---

[14]
The following is a PBE calculation of a relaxed structure of La2MnSnN, from Alexandria via LeMat-Bulk.

The structure in POSCAR format:
```
La2MnSnN
1.0
-4.579 2.156 1.600
-0.435 -3.718 3.763
2.023 2.379 2.585
Sn N La Mn
1 1 2 1
Direct
0.500 0.500 0.500
0.000 0.000 0.000
0.000 0.500 0.000
0.500 0.000 0.000
0.000 0.000 0.500
```

Output
For the total magnetic moment, the calculation gives 0.7685 μB/atom. The crystal system is tetragonal.

---

[15]
The following is a PBE calculation of a relaxed structure of Sr2LaMnN4, from Alexandria via LeMat-Bulk.

The structure in POSCAR format:
```
Sr2LaMnN4
1.0
-1.167 -0.645 -3.273
2.010 -5.414 2.259
-11.567 -2.378 4.592
N Mn Sr La
8 2 4 2
Direct
0.390 0.780 0.750
0.719 0.439 0.647
0.281 0.561 0.147
0.000 0.000 0.000
0.719 0.439 0.853
0.000 0.000 0.500
0.610 0.220 0.250
0.281 0.561 0.353
0.818 0.636 0.750
0.182 0.364 0.250
0.367 0.733 0.541
0.367 0.733 0.959
0.633 0.267 0.459
0.633 0.267 0.041
0.901 0.802 0.250
0.099 0.198 0.750
```

Output
For the total magnetic moment, the calculation gives 0.2480 μB/atom. The crystal system is orthorhombic.

---

[16]
The following is a PBE calculation of a relaxed structure of SrLa2MnN4, from Alexandria via LeMat-Bulk.

The structure in POSCAR format:
```
SrLa2MnN4
1.0
-2.933 -1.833 1.037
1.904 -2.641 -5.568
7.158 -7.940 6.213
N La Mn Sr
8 4 2 2
Direct
0.737 0.473 0.632
0.000 0.000 0.500
0.387 0.774 0.750
0.000 0.000 0.000
0.263 0.527 0.132
0.737 0.473 0.868
0.263 0.527 0.368
0.613 0.226 0.250
0.631 0.261 0.043
0.369 0.739 0.543
0.631 0.261 0.457
0.369 0.739 0.957
0.179 0.357 0.250
0.821 0.643 0.750
0.107 0.215 0.750
0.893 0.785 0.250
```

Output
For the total magnetic moment, the calculation gives 0.3495 μB/atom. The crystal system is orthorhombic.

---

[17]
The following is a PBE calculation of a relaxed structure of La2TaMnN5, from Alexandria via LeMat-Bulk.

The structure in POSCAR format:
```
La2TaMnN5
1.0
-2.853 0.875 -1.438
-1.826 -0.492 7.140
2.406 9.988 1.303
N Mn La Ta
10 2 4 2
Direct
0.962 0.923 0.513
0.337 0.674 0.006
0.700 0.401 0.153
0.038 0.077 0.013
0.498 0.997 0.289
0.321 0.643 0.384
0.300 0.599 0.653
0.663 0.326 0.506
0.502 0.003 0.789
0.679 0.357 0.884
0.449 0.898 0.443
0.551 0.102 0.943
0.131 0.261 0.323
0.869 0.739 0.823
0.120 0.240 0.690
0.880 0.760 0.190
0.204 0.409 0.022
0.796 0.591 0.522
```

Output
For the total magnetic moment, the calculation gives 0.1300 μB/atom. The crystal system is orthorhombic.

---

[18]
The following is a PBE calculation of a relaxed structure of La2TbMnN4, from Alexandria via LeMat-Bulk.

The structure in POSCAR format:
```
La2TbMnN4
1.0
-2.788 -1.284 1.631
-0.065 -2.336 -5.654
6.768 -9.701 3.932
Mn N La Tb
2 8 4 2
Direct
0.832 0.664 0.750
0.168 0.336 0.250
0.719 0.439 0.857
0.719 0.439 0.643
0.000 0.000 0.500
0.000 0.000 0.000
0.423 0.846 0.750
0.281 0.561 0.357
0.281 0.561 0.143
0.577 0.154 0.250
0.633 0.266 0.045
0.633 0.266 0.455
0.367 0.734 0.545
0.367 0.734 0.955
0.891 0.783 0.250
0.109 0.217 0.750
```

Output
For the total magnetic moment, the calculation gives 0.4417 μB/atom. The crystal system is orthorhombic.

---

[19]
The following is a PBE calculation of a relaxed structure of LaMnTeN2, from Alexandria via LeMat-Bulk.

The structure in POSCAR format:
```
LaMnTeN2
1.0
4.123 0.000 0.000
0.000 4.123 0.000
0.000 0.000 6.999
N Te Mn La
2 1 1 1
Direct
0.500 0.000 0.000
0.000 0.500 0.000
0.000 0.000 0.500
0.500 0.500 0.500
0.000 0.000 0.000
```

Output
For the total magnetic moment, the calculation gives 0.0521 μB/atom. For the energy relative to the lowest polymorph listed for this composition, the calculation gives 24.09 kcal/mol of atoms. The crystal system is tetragonal.

---

[20]
The following is a PBE calculation of a relaxed structure of LaMnTeN2, from Alexandria via LeMat-Bulk.

The structure in POSCAR format:
```
LaMnTeN2
1.0
-3.185 0.882 -2.430
-0.606 -4.003 -0.658
-3.152 -0.191 4.063
N Mn Te La
2 1 1 1
Direct
0.500 0.000 0.000
0.000 0.500 0.000
0.000 0.000 0.000
0.000 0.000 0.500
0.500 0.500 0.500
```

Output
For the total magnetic moment, the calculation gives 0.0564 μB/atom. For the energy relative to the lowest polymorph listed for this composition, the calculation gives 0.00 kcal/mol of atoms. The crystal system is tetragonal.

---

[21]
The following is a PBE calculation of a relaxed structure of LaThMnN3, from Alexandria via LeMat-Bulk.

The structure in POSCAR format:
```
LaThMnN3
1.0
3.584 0.000 0.000
0.000 7.388 1.015
0.000 -1.834 7.372
N Th Mn La
6 2 2 2
Direct
0.750 0.148 0.542
0.250 0.129 0.850
0.750 0.871 0.150
0.250 0.596 0.866
0.250 0.852 0.458
0.750 0.404 0.134
0.250 0.638 0.180
0.750 0.362 0.820
0.750 0.928 0.409
0.250 0.072 0.591
0.250 0.153 0.175
0.750 0.847 0.825
```

Output
For the total magnetic moment, the calculation gives 0.1902 μB/atom. The crystal system is monoclinic.

---

[22]
The following is a PBE calculation of a relaxed structure of La2ThMn2N6, from Alexandria via LeMat-Bulk.

The structure in POSCAR format:
```
La2ThMn2N6
1.0
5.694 0.000 0.000
2.847 4.931 0.000
2.847 1.644 6.117
Mn N La Th
2 6 2 1
Direct
0.407 0.407 0.780
0.593 0.593 0.220
0.262 0.262 0.713
0.738 0.738 0.287
0.262 0.763 0.713
0.763 0.262 0.713
0.738 0.237 0.287
0.237 0.738 0.287
0.209 0.209 0.372
0.791 0.791 0.628
0.000 0.000 0.000
```

Output
For the total magnetic moment, the calculation gives 0.1820 μB/atom. The crystal system is trigonal.

---

[23]
The following is a PBE calculation of a relaxed structure of LaTh2MnN5, from Alexandria via LeMat-Bulk.

The structure in POSCAR format:
```
LaTh2MnN5
1.0
6.803 0.000 0.000
0.000 6.803 0.000
-3.401 -3.401 5.664
N Th La Mn
10 4 2 2
Direct
0.503 0.283 0.286
0.283 0.783 0.286
0.997 0.497 0.714
0.500 0.500 0.000
0.783 0.003 0.286
0.717 0.217 0.714
0.003 0.503 0.286
0.497 0.717 0.714
0.217 0.997 0.714
0.000 0.000 0.000
0.676 0.176 0.000
0.176 0.324 0.000
0.824 0.676 0.000
0.324 0.824 0.000
0.250 0.250 0.500
0.750 0.750 0.500
0.250 0.750 0.500
0.750 0.250 0.500
```

Output
For the total magnetic moment, the calculation gives 0.2409 μB/atom. The crystal system is tetragonal.

---

In the order shown, the computed Fermi-level density of states values come out to 4.66, 3.06, 6.14, 9.89, 2.27, 3.59, 4.79, 2.67, 2.27, 2.41, 3.41, 6.50, 7.32, 2.72, 6.61, 2.83, 5.91, 6.73, 10.09, 2.57, 2.98, 5.91, 2.95 states/eV/cell.
In the order shown, the computed total energy values come out to -8.1703, -8.1569, -8.0126, -5.8374, -6.2207, -7.1545, -5.5207, -6.1282, -7.0745, -6.6857, -7.5379, -8.0822, -8.1977, -6.9941, -6.9632, -7.6708, -9.1020, -8.0605, -5.4590, -6.5036, -8.8526, -8.6056, -9.1064 eV/atom.